1.
This record from Alexandria via LeMat-Bulk describes a relaxed Tb2HoGa2Ag2 crystal. The functional is PBE.

a b c (Å): 4.5990 4.5990 26.8725
angles (deg): 90.00 90.00 120.00
Space group R-3m (No. 166, hexagonal axes)
Asymmetric unit:
Tb1 0.0000 0.0000 0.1253 (multiplicity 6)
Ho1 0.0000 0.0000 0.0000 (multiplicity 3)
Ga1 0.0000 0.0000 0.2594 (multiplicity 6)
Ag1 0.0000 0.0000 0.3961 (multiplicity 6)

Results
- DFT formation energy: -250.2 kJ/mol of formula units

***

2.
This record from Alexandria via LeMat-Bulk describes a relaxed HoTiGaAg crystal. The functional is PBE.

a b c (Å): 6.8494 6.8494 6.8494
angles (deg): 90.00 90.00 90.00
Space group F-43m (No. 216)
Asymmetric unit:
Ho1 0.0000 0.0000 0.0000 (multiplicity 4)
Ti1 0.0000 0.0000 0.5000 (multiplicity 4)
Ga1 0.2500 0.2500 0.7500 (multiplicity 4)
Ag1 0.2500 0.2500 0.2500 (multiplicity 4)

Results
- DFT formation energy: -91.1 kJ/mol of formula units

***

3.
This record from Alexandria via LeMat-Bulk describes a relaxed Ho4TlGaAg2 crystal. The functional is PBE.

a b c (Å): 5.1672 5.1672 25.2661
angles (deg): 90.00 90.00 120.00
Space group R-3m (No. 166, hexagonal axes)
Asymmetric unit:
Ho1 0.0000 0.0000 0.1211 (multiplicity 6)
Ho2 0.0000 0.0000 0.3713 (multiplicity 6)
Tl1 0.0000 0.0000 0.5000 (multiplicity 3)
Ga1 0.0000 0.0000 0.0000 (multiplicity 3)
Ag1 0.0000 0.0000 0.2487 (multiplicity 6)

Results
- DFT formation energy: -310.5 kJ/mol of formula units

***

4.
This record from Alexandria via LeMat-Bulk describes a relaxed HoTlGaAg crystal. The functional is PBE.

a b c (Å): 7.0847 7.0847 7.0847
angles (deg): 90.00 90.00 90.00
Space group F-43m (No. 216)
Asymmetric unit:
Ho1 0.0000 0.0000 0.0000 (multiplicity 4)
Tl1 0.2500 0.2500 0.2500 (multiplicity 4)
Ga1 0.2500 0.2500 0.7500 (multiplicity 4)
Ag1 0.0000 0.0000 0.5000 (multiplicity 4)

Results
- DFT formation energy: -84.1 kJ/mol of formula units

***

5.
This record from Alexandria via LeMat-Bulk describes a relaxed HoZnGaAg crystal. The functional is PBE.

a b c (Å): 6.7257 6.7257 6.7257
angles (deg): 90.00 90.00 90.00
Space group F-43m (No. 216)
Asymmetric unit:
Ho1 0.0000 0.0000 0.0000 (multiplicity 4)
Zn1 0.2500 0.2500 0.2500 (multiplicity 4)
Ga1 0.2500 0.2500 0.7500 (multiplicity 4)
Ag1 0.0000 0.0000 0.5000 (multiplicity 4)

Results
- DFT formation energy: -124.6 kJ/mol of formula units

***

6.
This record from Alexandria via LeMat-Bulk describes a relaxed HoZnGa3Ag crystal. The functional is PBE.

a b c (Å): 5.5323 13.8633 6.2857
angles (deg): 90.00 90.00 90.00
Space group Cmcm (No. 63)
Asymmetric unit:
Ho1 0.0000 0.1752 0.2500 (multiplicity 4)
Zn1 0.0000 0.3806 0.2500 (multiplicity 4)
Ga1 0.0000 0.3790 0.7500 (multiplicity 4)
Ga2 0.2295 0.0000 0.0000 (multiplicity 8)
Ag1 0.0000 0.1735 0.7500 (multiplicity 4)

Results
- DFT formation energy: -62.6 kJ/mol of formula units

***

7.
This record from Alexandria via LeMat-Bulk describes a relaxed Ho2Zn4Ga3Ag crystal. The functional is PBE.

a b c (Å): 4.1667 4.1667 10.7485
angles (deg): 90.00 90.00 90.00
Space group P-4m2 (No. 115)
Asymmetric unit:
Ho1 0.0000 0.5000 0.2432 (multiplicity 2)
Zn1 0.0000 0.0000 0.0000 (multiplicity 1)
Zn2 0.0000 0.5000 0.6408 (multiplicity 2)
Zn3 0.5000 0.5000 0.0000 (multiplicity 1)
Ga1 0.0000 0.5000 0.8634 (multiplicity 2)
Ga2 0.5000 0.5000 0.5000 (multiplicity 1)
Ag1 0.0000 0.0000 0.5000 (multiplicity 1)

Results
- DFT formation energy: -343.5 kJ/mol of formula units

***

8.
This record from Alexandria via LeMat-Bulk describes a relaxed HoZn6GaAg crystal. The functional is PBE.

a b c (Å): 5.3106 9.7918 14.0100
angles (deg): 90.00 90.00 90.00
Space group Imma (No. 74)
Asymmetric unit:
Ho1 0.0000 0.2500 0.1756 (multiplicity 4)
Zn1 0.0000 0.2500 0.4204 (multiplicity 4)
Zn2 0.0000 0.2500 0.9547 (multiplicity 4)
Zn3 0.2461 0.0193 0.8433 (multiplicity 16)
Ga1 0.2500 0.2500 0.7500 (multiplicity 4)
Ag1 0.0000 0.0000 0.5000 (multiplicity 4)

Results
- DFT formation energy: 121.4 kJ/mol of formula units

***

9.
This record from Alexandria via LeMat-Bulk describes a relaxed HoZrGaAg crystal. The functional is PBE.

a b c (Å): 7.0024 7.0024 7.0024
angles (deg): 90.00 90.00 90.00
Space group F-43m (No. 216)
Asymmetric unit:
Ho1 0.0000 0.0000 0.0000 (multiplicity 4)
Zr1 0.0000 0.0000 0.5000 (multiplicity 4)
Ga1 0.2500 0.2500 0.2500 (multiplicity 4)
Ag1 0.2500 0.2500 0.7500 (multiplicity 4)

Results
- DFT formation energy: -119.1 kJ/mol of formula units

***

10.
This record from Alexandria via LeMat-Bulk describes a relaxed GaAgI5 crystal. The functional is PBE.

a b c (Å): 10.5260 12.9278 10.4054
angles (deg): 90.00 118.39 90.00
Space group C2/c (No. 15)
Asymmetric unit:
Ga1 0.0000 0.1323 0.2500 (multiplicity 4)
Ag1 0.0000 0.5000 0.0000 (multiplicity 4)
I1 0.0000 0.4148 0.7500 (multiplicity 4)
I2 0.0029 0.2355 0.4594 (multiplicity 8)
I3 0.1923 0.0213 0.8426 (multiplicity 8)

Results
- Excess energy over the best structure of this formula in the dataset: 0 meV/atom
- Energy relative to the elements, uncorrected: -1.89 eV per formula unit

***

11.
This record from Alexandria via LeMat-Bulk describes a relaxed GaAg2I6 crystal. The functional is PBE.

a b c (Å): 14.5751 16.8389 7.0890
angles (deg): 90.00 114.02 90.00
Space group C2/c (No. 15)
Asymmetric unit:
Ga1 0.0000 0.1957 0.2500 (multiplicity 4)
Ag1 0.2112 0.4155 0.5062 (multiplicity 8)
I1 0.1100 0.2768 0.5735 (multiplicity 8)
I2 0.1115 0.1070 0.1253 (multiplicity 8)
I3 0.1538 0.4334 0.0894 (multiplicity 8)

Results
- Excess energy over the best structure of this formula in the dataset: 0 meV/atom
- Energy relative to the elements, uncorrected: -2.42 eV per formula unit

***

12.
This record from Alexandria via LeMat-Bulk describes a relaxed GaAg2I crystal. The functional is PBE.

a b c (Å): 7.7273 7.7273 6.6131
angles (deg): 90.00 90.00 90.00
Space group I-42d (No. 122)
Asymmetric unit:
Ga1 0.0000 0.0000 0.0000 (multiplicity 4)
Ag1 0.2189 0.2500 0.1250 (multiplicity 8)
I1 0.0000 0.0000 0.5000 (multiplicity 4)

Results
- Excess energy over the best structure of this formula in the dataset: 0 meV/atom
- Energy relative to the elements, uncorrected: 0.67 eV per formula unit

***

13.
This record from Alexandria via LeMat-Bulk describes a relaxed Ga2AgI6 crystal. The functional is PBE.

a b c (Å): 16.9281 14.8958 7.5764
angles (deg): 90.00 98.46 90.00
Space group C2/c (No. 15)
Asymmetric unit:
Ga1 0.0735 0.0807 0.2658 (multiplicity 8)
Ag1 0.0000 0.4993 0.2500 (multiplicity 4)
I1 0.1202 0.4972 0.5395 (multiplicity 8)
I2 0.1315 0.0703 0.6263 (multiplicity 8)
I3 0.1488 0.2145 0.1689 (multiplicity 8)

Results
- Excess energy over the best structure of this formula in the dataset: 32 meV/atom
- Energy relative to the elements, uncorrected: -2.93 eV per formula unit

***

14.
This record from Alexandria via LeMat-Bulk describes a relaxed Ga2AgI crystal. The functional is PBE.

a b c (Å): 7.5056 7.5056 7.5056
angles (deg): 90.00 90.00 90.00
Space group Fm-3m (No. 225)
Asymmetric unit:
Ga1 0.2500 0.2500 0.2500 (multiplicity 8)
Ag1 0.0000 0.0000 0.0000 (multiplicity 4)
I1 0.0000 0.0000 0.5000 (multiplicity 4)

Results
- Excess energy over the best structure of this formula in the dataset: 127 meV/atom
- Energy relative to the elements, uncorrected: 0.94 eV per formula unit

***

15.
This record from Alexandria via LeMat-Bulk describes a relaxed Ga3AgI crystal. The functional is PBE.

a b c (Å): 5.1619 5.1619 5.1619
angles (deg): 90.00 90.00 90.00
Space group Pm-3m (No. 221)
Asymmetric unit:
Ga1 0.0000 0.0000 0.5000 (multiplicity 3)
Ag1 0.0000 0.0000 0.0000 (multiplicity 1)
I1 0.5000 0.5000 0.5000 (multiplicity 1)

Results
- Excess energy over the best structure of this formula in the dataset: 0 meV/atom
- Energy relative to the elements, uncorrected: 0.26 eV per formula unit

***

16.
This record from Alexandria via LeMat-Bulk describes a relaxed GaAg3I crystal. The functional is PBE.

a b c (Å): 5.4869 5.4869 5.4869
angles (deg): 90.00 90.00 90.00
Space group Pm-3m (No. 221)
Asymmetric unit:
Ga1 0.0000 0.0000 0.0000 (multiplicity 1)
Ag1 0.0000 0.5000 0.5000 (multiplicity 3)
I1 0.5000 0.5000 0.5000 (multiplicity 1)

Results
- Excess energy over the best structure of this formula in the dataset: 397 meV/atom
- Energy relative to the elements, uncorrected: 4.12 eV per formula unit

***

17.
This record from Alexandria via LeMat-Bulk describes a relaxed GaAgI3 crystal. The functional is PBE.

a b c (Å): 5.7314 5.7314 5.7314
angles (deg): 90.00 90.00 90.00
Space group Pm-3m (No. 221)
Asymmetric unit:
Ga1 0.0000 0.0000 0.0000 (multiplicity 1)
Ag1 0.5000 0.5000 0.5000 (multiplicity 1)
I1 0.0000 0.5000 0.5000 (multiplicity 3)

Results
- Excess energy over the best structure of this formula in the dataset: 283 meV/atom
- Energy relative to the elements, uncorrected: -0.30 eV per formula unit

***

18.
This record from Alexandria via LeMat-Bulk describes a relaxed GaAgI2 crystal. The functional is PBE.

a b c (Å): 4.4261 4.4261 23.0819
angles (deg): 90.00 90.00 120.00
Space group R3m (No. 160, hexagonal axes)
Asymmetric unit:
Ga1 0.0000 0.0000 0.0000 (multiplicity 3)
Ag1 0.0000 0.0000 0.8329 (multiplicity 3)
I1 0.0000 0.0000 0.2407 (multiplicity 3)
I2 0.0000 0.0000 0.4258 (multiplicity 3)

Results
- Energy relative to the elements, uncorrected: -0.95 eV per formula unit

***

19.
This record from Alexandria via LeMat-Bulk describes a relaxed Ga2Ag2I crystal. The functional is PBE.

a b c (Å): 4.2818 4.2818 12.8303
angles (deg): 90.00 90.00 90.00
Space group I4/mmm (No. 139)
Asymmetric unit:
Ga1 0.0000 0.5000 0.2500 (multiplicity 4)
Ag1 0.0000 0.0000 0.1146 (multiplicity 4)
I1 0.0000 0.0000 0.5000 (multiplicity 2)

Results
- Excess energy over the best structure of this formula in the dataset: 0 meV/atom
- Energy relative to the elements, uncorrected: 0.37 eV per formula unit

***

20.
This record from Alexandria via LeMat-Bulk describes a relaxed GaAg3I crystal. The functional is PBE.

a b c (Å): 5.0694 5.0694 5.0694
angles (deg): 90.00 90.00 90.00
Space group Pm-3m (No. 221)
Asymmetric unit:
Ga1 0.0000 0.0000 0.0000 (multiplicity 1)
Ag1 0.0000 0.0000 0.5000 (multiplicity 3)
I1 0.5000 0.5000 0.5000 (multiplicity 1)

Results
- Excess energy over the best structure of this formula in the dataset: 0 meV/atom
- Energy relative to the elements, uncorrected: 2.13 eV per formula unit